(1)
# SmHo6Tm2Sc3 PBE relaxed
# - Energy of formation: 0.044 eV per atom
# - Space group: C2/m, No. 12
data_SmHo6Tm2Sc3
_cell_length_a 6.0110
_cell_length_b 6.0110
_cell_length_c 11.4195
_cell_angle_alpha 95.03
_cell_angle_beta 95.03
_cell_angle_gamma 119.96
_space_group_name_H-M_alt 'P 1'
_space_group_IT_number 1
loop_
_space_group_symop_operation_xyz
'x,y,z'
loop_
_atom_site_label
_atom_site_fract_x
_atom_site_fract_y
_atom_site_fract_z
Sm1 0.0000 0.0000 0.0000
Ho1 0.9135 0.5799 0.7412
Ho2 0.7527 0.7527 0.2587
Ho3 0.0865 0.4201 0.2588
Ho4 0.5799 0.9135 0.7412
Ho5 0.2473 0.2473 0.7413
Ho6 0.4201 0.0865 0.2588
Tm1 0.3334 0.6666 0.0000
Tm2 0.6666 0.3334 0.0000
Sc1 0.1669 0.8331 0.5000
Sc2 0.8331 0.1669 0.5000
Sc3 0.5000 0.5000 0.5000

=====

(2)
# Sm4HoTm2Sc PBE relaxed
# - Energy of formation: 0.030 eV per atom
# - Space group: P4/mmm, No. 123
data_Sm4HoTm2Sc
_cell_length_a 5.0426
_cell_length_b 5.0331
_cell_length_c 11.0355
_cell_angle_alpha 62.87
_cell_angle_beta 90.00
_cell_angle_gamma 90.00
_space_group_name_H-M_alt 'P 1'
_space_group_IT_number 1
loop_
_space_group_symop_operation_xyz
'x,y,z'
loop_
_atom_site_label
_atom_site_fract_x
_atom_site_fract_y
_atom_site_fract_z
Sm1 0.0000 0.7552 0.7450
Sm2 0.0000 0.2448 0.2550
Sm3 0.5000 0.7448 0.2550
Sm4 0.5000 0.2552 0.7450
Ho1 0.5000 0.5000 0.0000
Tm1 0.0000 0.0000 0.0000
Tm2 0.5000 0.0000 0.5000
Sc1 0.0000 0.5000 0.5000

=====

(3)
# Sm6HoTmSc2 PBE relaxed
# - Energy of formation: 0.126 eV per atom
# - Space group: C2/c, No. 15
data_Sm6HoTmSc2
_cell_length_a 9.4657
_cell_length_b 8.7211
_cell_length_c 8.7211
_cell_angle_alpha 117.74
_cell_angle_beta 94.17
_cell_angle_gamma 94.17
_space_group_name_H-M_alt 'P 1'
_space_group_IT_number 1
loop_
_space_group_symop_operation_xyz
'x,y,z'
loop_
_atom_site_label
_atom_site_fract_x
_atom_site_fract_y
_atom_site_fract_z
Sm1 0.0526 0.1124 0.7614
Sm2 0.4474 0.2386 0.8876
Sm3 0.9474 0.8876 0.2386
Sm4 0.5526 0.7614 0.1124
Sm5 0.3172 0.9861 0.4389
Sm6 0.1828 0.5611 0.0139
Sm7 0.6828 0.0139 0.5611
Sm8 0.8172 0.4389 0.9861
Sm9 0.1185 0.7016 0.4956
Sm10 0.3815 0.5044 0.2984
Sm11 0.8815 0.2984 0.5044
Sm12 0.6185 0.4956 0.7016
Ho1 0.2500 0.4074 0.5926
Ho2 0.7500 0.5926 0.4074
Tm1 0.2500 0.9722 0.0278
Tm2 0.7500 0.0278 0.9722
Sc1 0.4526 0.8030 0.7036
Sc2 0.0474 0.2964 0.1970
Sc3 0.5474 0.1970 0.2964
Sc4 0.9526 0.7036 0.8030

=====

(4)
# Sm3Ho6Tm2Sc PBE relaxed
# - Energy of formation: 0.030 eV per atom
# - Space group: C2/m, No. 12
data_Sm3Ho6Tm2Sc
_cell_length_a 6.1065
_cell_length_b 6.1065
_cell_length_c 11.6593
_cell_angle_alpha 95.00
_cell_angle_beta 95.00
_cell_angle_gamma 119.96
_space_group_name_H-M_alt 'P 1'
_space_group_IT_number 1
loop_
_space_group_symop_operation_xyz
'x,y,z'
loop_
_atom_site_label
_atom_site_fract_x
_atom_site_fract_y
_atom_site_fract_z
Sm1 0.1666 0.8334 0.5000
Sm2 0.8334 0.1666 0.5000
Sm3 0.5000 0.5000 0.5000
Ho1 0.9191 0.5879 0.7560
Ho2 0.7497 0.7497 0.2442
Ho3 0.0809 0.4121 0.2440
Ho4 0.5879 0.9191 0.7560
Ho5 0.2503 0.2503 0.7558
Ho6 0.4121 0.0809 0.2440
Tm1 0.3335 0.6665 0.0000
Tm2 0.6665 0.3335 0.0000
Sc1 0.0000 0.0000 0.0000

=====

(5)
# Sm2HoTm6Sc3 PBE relaxed
# - Energy of formation: 0.045 eV per atom
# - Space group: C2/m, No. 12
data_Sm2HoTm6Sc3
_cell_length_a 6.0080
_cell_length_b 6.0080
_cell_length_c 11.4095
_cell_angle_alpha 95.03
_cell_angle_beta 95.03
_cell_angle_gamma 119.97
_space_group_name_H-M_alt 'P 1'
_space_group_IT_number 1
loop_
_space_group_symop_operation_xyz
'x,y,z'
loop_
_atom_site_label
_atom_site_fract_x
_atom_site_fract_y
_atom_site_fract_z
Sm1 0.3332 0.6668 0.0000
Sm2 0.6668 0.3332 0.0000
Ho1 0.0000 0.0000 0.0000
Tm1 0.9133 0.5803 0.7398
Tm2 0.7538 0.7538 0.2600
Tm3 0.0867 0.4197 0.2602
Tm4 0.5803 0.9133 0.7398
Tm5 0.2462 0.2462 0.7400
Tm6 0.4197 0.0867 0.2602
Sc1 0.1664 0.8336 0.5000
Sc2 0.8336 0.1664 0.5000
Sc3 0.5000 0.5000 0.5000

=====

(6)
# SmHo2TmSc4 PBE relaxed
# - Energy of formation: 0.054 eV per atom
# - Space group: P4/mmm, No. 123
data_SmHo2TmSc4
_cell_length_a 4.8727
_cell_length_b 4.8773
_cell_length_c 10.5452
_cell_angle_alpha 62.47
_cell_angle_beta 90.00
_cell_angle_gamma 90.00
_space_group_name_H-M_alt 'P 1'
_space_group_IT_number 1
loop_
_space_group_symop_operation_xyz
'x,y,z'
loop_
_atom_site_label
_atom_site_fract_x
_atom_site_fract_y
_atom_site_fract_z
Sm1 0.5000 0.5000 0.0000
Ho1 0.0000 0.0000 0.0000
Ho2 0.5000 0.0000 0.5000
Tm1 0.0000 0.5000 0.5000
Sc1 0.0000 0.7517 0.7481
Sc2 0.0000 0.2483 0.2519
Sc3 0.5000 0.7483 0.2518
Sc4 0.5000 0.2517 0.7482

=====

(7)
# SmHo5Tm2Sc PBE relaxed
# - Energy of formation: 0.175 eV per atom
# - Space group: Cmc2_1, No. 36
data_SmHo5Tm2Sc
_cell_length_a 5.5138
_cell_length_b 10.1966
_cell_length_c 10.3218
_cell_angle_alpha 90.00
_cell_angle_beta 90.00
_cell_angle_gamma 105.69
_space_group_name_H-M_alt 'P 1'
_space_group_IT_number 1
loop_
_space_group_symop_operation_xyz
'x,y,z'
loop_
_atom_site_label
_atom_site_fract_x
_atom_site_fract_y
_atom_site_fract_z
Sm1 0.5879 0.1758 0.9531
Sm2 0.4121 0.8242 0.4531
Ho1 0.3783 0.7567 0.0213
Ho2 0.7232 0.4464 0.8207
Ho3 0.4807 0.9614 0.7389
Ho4 0.2990 0.5981 0.7058
Ho5 0.9820 0.9641 0.5195
Ho6 0.6217 0.2433 0.5213
Ho7 0.2768 0.5536 0.3207
Ho8 0.5193 0.0386 0.2389
Ho9 0.7010 0.4019 0.2058
Ho10 0.0180 0.0359 0.0195
Tm1 0.8885 0.7771 0.8134
Tm2 0.1136 0.2272 0.7366
Tm3 0.1115 0.2229 0.3134
Tm4 0.8864 0.7728 0.2366
Sc1 0.8042 0.6083 0.5146
Sc2 0.1958 0.3917 0.0146

=====

(8)
# SmHo2Tm4Sc PBE relaxed
# - Energy of formation: 0.037 eV per atom
# - Space group: P4/mmm, No. 123
data_SmHo2Tm4Sc
_cell_length_a 4.9256
_cell_length_b 4.9248
_cell_length_c 11.0390
_cell_angle_alpha 63.53
_cell_angle_beta 90.00
_cell_angle_gamma 90.00
_space_group_name_H-M_alt 'P 1'
_space_group_IT_number 1
loop_
_space_group_symop_operation_xyz
'x,y,z'
loop_
_atom_site_label
_atom_site_fract_x
_atom_site_fract_y
_atom_site_fract_z
Sm1 0.5000 0.5000 0.0000
Ho1 0.0000 0.0000 0.0000
Ho2 0.5000 0.0000 0.5000
Tm1 0.0000 0.7559 0.7440
Tm2 0.0000 0.2441 0.2560
Tm3 0.5000 0.7442 0.2558
Tm4 0.5000 0.2558 0.7442
Sc1 0.0000 0.5000 0.5000

=====

(9)
# SmHo2Tm6Sc3 PBE relaxed
# - Energy of formation: 0.044 eV per atom
# - Space group: C2/m, No. 12
data_SmHo2Tm6Sc3
_cell_length_a 5.9894
_cell_length_b 5.9894
_cell_length_c 11.3916
_cell_angle_alpha 95.02
_cell_angle_beta 95.02
_cell_angle_gamma 119.97
_space_group_name_H-M_alt 'P 1'
_space_group_IT_number 1
loop_
_space_group_symop_operation_xyz
'x,y,z'
loop_
_atom_site_label
_atom_site_fract_x
_atom_site_fract_y
_atom_site_fract_z
Sm1 0.0000 0.0000 0.0000
Ho1 0.3334 0.6666 0.0000
Ho2 0.6666 0.3334 0.0000
Tm1 0.9132 0.5796 0.7407
Tm2 0.7532 0.7532 0.2594
Tm3 0.0868 0.4204 0.2593
Tm4 0.5796 0.9132 0.7407
Tm5 0.2468 0.2468 0.7406
Tm6 0.4204 0.0868 0.2593
Sc1 0.1669 0.8331 0.5000
Sc2 0.8331 0.1669 0.5000
Sc3 0.5000 0.5000 0.5000

=====

(10)
# Sm2HoTm5Sc PBE relaxed
# - Energy of formation: 0.284 eV per atom
# - Space group: I4/mcm, No. 140
data_Sm2HoTm5Sc
_cell_length_a 8.4552
_cell_length_b 8.4552
_cell_length_c 9.7406
_cell_angle_alpha 115.72
_cell_angle_beta 115.72
_cell_angle_gamma 90.00
_space_group_name_H-M_alt 'P 1'
_space_group_IT_number 1
loop_
_space_group_symop_operation_xyz
'x,y,z'
loop_
_atom_site_label
_atom_site_fract_x
_atom_site_fract_y
_atom_site_fract_z
Sm1 0.1189 0.3811 0.0000
Sm2 0.6189 0.1189 0.0000
Sm3 0.3811 0.8811 0.0000
Sm4 0.8811 0.6189 0.0000
Ho1 0.2500 0.2500 0.5000
Ho2 0.7500 0.7500 0.5000
Tm1 0.9335 0.4335 0.2838
Tm2 0.6497 0.1497 0.7162
Tm3 0.0665 0.5665 0.7162
Tm4 0.1497 0.0665 0.7162
Tm5 0.5665 0.6497 0.7162
Tm6 0.8503 0.9335 0.2838
Tm7 0.4335 0.3503 0.2838
Tm8 0.3503 0.8503 0.2838
Tm9 0.5000 0.5000 0.0000
Tm10 0.0000 0.0000 0.0000
Sc1 0.2500 0.7500 0.5000
Sc2 0.7500 0.2500 0.5000

=====

(11)
# SmHo2Tm2Sc2 PBE relaxed
# - Energy of formation: 0.179 eV per atom
# - Space group: C2/m, No. 12
data_SmHo2Tm2Sc2
_cell_length_a 3.3774
_cell_length_b 8.7257
_cell_length_c 8.1309
_cell_angle_alpha 116.04
_cell_angle_beta 90.00
_cell_angle_gamma 101.16
_space_group_name_H-M_alt 'P 1'
_space_group_IT_number 1
loop_
_space_group_symop_operation_xyz
'x,y,z'
loop_
_atom_site_label
_atom_site_fract_x
_atom_site_fract_y
_atom_site_fract_z
Sm1 0.0000 0.0000 0.5000
Ho1 0.5726 0.1452 0.9160
Ho2 0.4274 0.8548 0.0840
Tm1 0.2120 0.4239 0.7916
Tm2 0.7880 0.5761 0.2084
Sc1 0.6517 0.3035 0.3935
Sc2 0.3483 0.6965 0.6065

=====

(12)
# Sm6Ho3Tm2Sc PBE relaxed
# - Energy of formation: 0.026 eV per atom
# - Space group: C2/m, No. 12
data_Sm6Ho3Tm2Sc
_cell_length_a 6.1642
_cell_length_b 6.1642
_cell_length_c 11.6560
_cell_angle_alpha 95.04
_cell_angle_beta 95.04
_cell_angle_gamma 119.98
_space_group_name_H-M_alt 'P 1'
_space_group_IT_number 1
loop_
_space_group_symop_operation_xyz
'x,y,z'
loop_
_atom_site_label
_atom_site_fract_x
_atom_site_fract_y
_atom_site_fract_z
Sm1 0.9180 0.5869 0.7532
Sm2 0.7509 0.7509 0.2470
Sm3 0.0820 0.4131 0.2468
Sm4 0.5869 0.9180 0.7532
Sm5 0.2491 0.2491 0.7530
Sm6 0.4131 0.0820 0.2468
Ho1 0.1667 0.8333 0.5000
Ho2 0.8333 0.1667 0.5000
Ho3 0.5000 0.5000 0.5000
Tm1 0.3334 0.6666 0.0000
Tm2 0.6666 0.3334 0.0000
Sc1 0.0000 0.0000 0.0000